KSr3Cr: relaxed, PBE.

Computed properties:
Space group: Pm-3m (221)
E above lowest polymorph, kJ/mol of atoms: 43.98

Lattice parameters (Å, degrees): 6.853 6.853 6.853 90.00 90.00 90.00
Positions (direct):
K (0.000, 0.000, 0.000)
Sr (0.000, 0.000, 0.500)
Sr (0.000, 0.500, 0.000)
Sr (0.500, 0.000, 0.000)
Cr (0.500, 0.500, 0.500)